one | ## BaPb2N2 (PBE)

Data for BaPb2N2 after structural relaxation.

The structure in POSCAR format:
```
BaPb2N2
1.0
7.628 0.000 0.000
0.000 7.628 0.000
0.000 0.000 3.628
Ba Pb N
2 4 4
Cartesian
0.000 0.000 0.000
3.814 3.814 0.000
1.020 2.793 1.814
2.793 6.607 1.814
4.834 1.020 1.814
6.607 4.834 1.814
0.997 4.810 0.000
2.817 0.997 0.000
4.810 6.631 0.000
6.631 2.817 0.000
```

Results
Mass density   9121 kg/m3
Magnetization   0.0438 μB per atom


two | ## BaPb2N2 (PBE)

Data for BaPb2N2 after structural relaxation.

The structure in POSCAR format:
```
BaPb2N2
1.0
-2.394 2.394 5.533
2.394 -2.394 5.533
2.394 2.394 -5.533
Ba Pb N
1 2 2
Cartesian
0.000 0.000 0.000
2.394 0.000 2.766
0.000 2.394 2.766
0.000 0.000 3.446
0.000 0.000 7.619
```

Results
Mass density   7587 kg/m3
Magnetization   0.0000 μB per atom


Stability, highest: two


one | ## BaTe2PbN (PBE)

Data for BaTe2PbN after structural relaxation.

The structure in POSCAR format:
```
BaTe2PbN
1.0
6.520 0.000 0.000
0.000 6.520 0.000
0.000 0.000 5.102
Ba Te Pb N
1 2 1 1
Cartesian
0.000 0.000 0.000
0.000 3.260 0.000
3.260 0.000 0.000
3.260 3.260 2.551
0.000 0.000 2.551
```

Results
Mass density   4699 kg/m3
Magnetization   0.4773 μB per atom


two | ## BaTe2PbN (PBE)

Data for BaTe2PbN after structural relaxation.

The structure in POSCAR format:
```
BaTe2PbN
1.0
6.035 0.000 0.000
0.000 6.035 0.000
0.000 0.000 4.660
Ba Te Pb N
1 2 1 1
Cartesian
0.000 0.000 0.000
0.000 3.017 2.330
3.017 0.000 2.330
3.017 3.017 2.330
3.017 3.017 0.000
```

Results
Mass density   6004 kg/m3
Magnetization   0.3352 μB per atom


Stability, highest: two


one | ## BaPdN2 (PBE)

Data for BaPdN2 after structural relaxation.

The structure in POSCAR format:
```
BaPdN2
1.0
-2.701 2.701 5.136
2.701 -2.701 5.136
2.701 2.701 -5.136
Ba Pd N
2 2 4
Cartesian
0.000 0.000 0.000
0.000 2.701 2.568
2.701 0.000 2.568
0.000 0.000 5.136
1.351 -0.762 3.852
1.939 1.351 1.284
1.351 3.463 -1.284
0.762 1.351 6.420
```

Results
Mass density   6022 kg/m3
Magnetization   0.0000 μB per atom


two | ## BaPdN2 (PBE)

Data for BaPdN2 after structural relaxation.

The structure in POSCAR format:
```
BaPdN2
1.0
2.339 -7.854 0.000
2.339 7.854 0.000
-0.033 0.000 5.262
Ba Pd N
2 2 4
Cartesian
2.314 6.075 3.946
2.331 -6.075 1.315
2.339 0.000 0.000
2.323 0.000 2.631
1.754 4.206 1.312
2.908 4.206 1.319
1.737 -4.206 3.943
2.892 -4.206 3.949
```

Results
Mass density   4668 kg/m3
Magnetization   0.0000 μB per atom


Stability, highest: two


one | ## BaPdN2 (PBE)

Data for BaPdN2 after structural relaxation.

The structure in POSCAR format:
```
BaPdN2
1.0
2.254 1.302 5.670
-2.254 1.302 5.670
0.000 -2.603 5.670
Ba Pd N
1 1 2
Cartesian
0.000 0.000 0.000
0.000 0.000 8.505
0.000 0.000 6.708
0.000 0.000 10.302
```

Results
Mass density   4521 kg/m3
Magnetization   0.0000 μB per atom


two | ## BaPdN2 (PBE)

Data for BaPdN2 after structural relaxation.

The structure in POSCAR format:
```
BaPdN2
1.0
0.000 3.164 3.164
3.164 0.000 3.164
3.164 3.164 0.000
Ba Pd N
1 1 2
Cartesian
0.000 0.000 0.000
3.164 3.164 3.164
1.582 1.582 1.582
4.747 4.747 4.747
```

Results
Mass density   7120 kg/m3
Magnetization   0.4440 μB per atom


three | ## BaPdN2 (PBE)

Data for BaPdN2 after structural relaxation.

The structure in POSCAR format:
```
BaPdN2
1.0
1.734 1.001 6.582
-1.734 1.001 6.582
0.000 -2.002 6.582
Ba Pd N
1 1 2
Cartesian
0.000 0.000 0.000
0.000 0.000 9.872
0.000 0.000 2.495
0.000 0.000 17.250
```

Results
Mass density   6584 kg/m3
Magnetization   0.0000 μB per atom


Stability, highest: one


one | ## Ba3PdN (PBE)

Data for Ba3PdN after structural relaxation.

The structure in POSCAR format:
```
Ba3PdN
1.0
3.698 2.135 7.265
-3.698 2.135 7.265
0.000 -4.270 7.265
Ba Pd N
6 2 2
Cartesian
-2.804 -0.053 9.266
-1.356 -2.455 12.528
1.448 -2.402 9.266
-1.448 2.402 12.528
1.356 2.455 9.266
2.804 0.053 12.528
0.000 0.000 7.763
0.000 0.000 14.030
0.000 0.000 3.568
0.000 0.000 18.226
```

Results
Mass density   5141 kg/m3
Magnetization   0.1269 μB per atom


two | ## Ba3PdN (PBE)

Data for Ba3PdN after structural relaxation.

The structure in POSCAR format:
```
Ba3PdN
1.0
5.519 0.000 0.000
0.000 5.519 0.000
0.000 0.000 5.519
Ba Pd N
3 1 1
Cartesian
0.000 0.000 2.760
0.000 2.760 0.000
2.760 0.000 0.000
2.760 2.760 2.760
0.000 0.000 0.000
```

Results
Mass density   5258 kg/m3
Magnetization   0.0000 μB per atom


Stability, highest: one


one | ## Ba2PdPtN (PBE)

Data for Ba2PdPtN after structural relaxation.

The structure in POSCAR format:
```
Ba2PdPtN
1.0
5.802 0.000 0.000
0.000 5.802 0.000
0.000 0.000 3.830
Ba Pd Pt N
2 1 1 1
Cartesian
0.000 2.901 0.000
2.901 0.000 0.000
0.000 0.000 1.915
2.901 2.901 1.915
2.901 2.901 0.000
```

Results
Mass density   7602 kg/m3
Magnetization   0.0000 μB per atom


two | ## Ba2PdPtN (PBE)

Data for Ba2PdPtN after structural relaxation.

The structure in POSCAR format:
```
Ba2PdPtN
1.0
5.692 0.000 0.000
0.000 5.692 0.000
0.000 0.000 3.910
Ba Pd Pt N
2 1 1 1
Cartesian
0.000 2.846 0.000
2.846 0.000 0.000
0.000 0.000 1.955
2.846 2.846 1.955
0.000 0.000 0.000
```

Results
Mass density   7736 kg/m3
Magnetization   0.0000 μB per atom


Stability, highest: one


one | ## BaPdS2N (PBE)

Data for BaPdS2N after structural relaxation.

The structure in POSCAR format:
```
BaPdS2N
1.0
5.136 0.000 0.000
0.000 5.136 0.000
0.000 0.000 3.881
Ba Pd S N
1 1 2 1
Cartesian
0.000 0.000 0.000
2.568 2.568 1.941
0.000 2.568 1.941
2.568 0.000 1.941
2.568 2.568 0.000
```

Results
Mass density   5221 kg/m3
Magnetization   0.1411 μB per atom


two | ## BaPdS2N (PBE)

Data for BaPdS2N after structural relaxation.

The structure in POSCAR format:
```
BaPdS2N
1.0
5.784 0.000 0.000
0.000 5.784 0.000
0.000 0.000 4.615
Ba Pd S N
1 1 2 1
Cartesian
0.000 0.000 0.000
2.892 2.892 2.308
0.000 2.892 0.000
2.892 0.000 0.000
0.000 0.000 2.308
```

Results
Mass density   3462 kg/m3
Magnetization   0.0001 μB per atom


Stability, highest: one


one | ## BaTePdN2 (PBE)

Data for BaTePdN2 after structural relaxation.

The structure in POSCAR format:
```
BaTePdN2
1.0
4.525 0.000 0.000
0.000 4.525 0.000
0.000 0.000 5.433
Ba Te Pd N
1 1 1 2
Cartesian
0.000 0.000 0.000
2.263 2.263 0.000
2.263 2.263 2.716
0.000 2.263 2.716
2.263 0.000 2.716
```

Results
Mass density   5960 kg/m3
Magnetization   0.6161 μB per atom


two | ## BaTePdN2 (PBE)

Data for BaTePdN2 after structural relaxation.

The structure in POSCAR format:
```
BaTePdN2
1.0
4.515 0.000 0.000
0.000 4.515 0.000
0.000 0.000 7.235
Ba Te Pd N
1 1 1 2
Cartesian
0.000 0.000 0.000
0.000 0.000 3.618
2.257 2.257 3.618
0.000 2.257 0.000
2.257 0.000 0.000
```

Results
Mass density   4497 kg/m3
Magnetization   0.6402 μB per atom


Stability, highest: one